DFT (PBE-GGA) results for crystalline Er3TlRh at its relaxed geometry.

DOS(E_F): 0.6892 states/eV/atom
Electronic total energy: -5.185 eV per atom
Symmetry: No. 59

Lattice parameters (Å, degrees): 4.7292 6.7982 8.2410 90.00 90.00 90.00
With the nearest neighbours (Å) after each atom.
Element x y z (fractional)
Er (0.2500, 0.0040, 0.1569)  3 Rh 2.78-2.92
Er (0.2500, 0.4960, 0.1569)  3 Rh 2.78-2.92
Er (0.2500, 0.7500, 0.5620)  1 Rh 2.72
Er (0.7500, 0.2500, 0.4380)  1 Rh 2.72
Er (0.7500, 0.5040, 0.8431)  3 Rh 2.78-2.92
Er (0.7500, 0.9960, 0.8431)  3 Rh 2.78-2.92
Tl (0.2500, 0.2500, 0.6805)  6 Er 3.10-3.22
Tl (0.7500, 0.7500, 0.3195)  6 Er 3.10-3.22
Rh (0.2500, 0.7500, 0.8920)  7 Er 2.72-2.92
Rh (0.7500, 0.2500, 0.1080)  7 Er 2.72-2.92